(1)
Compound: LiReAs2
Source: the Alexandria database
Functional: PBE
Structure: relaxed

Cell: 4.298 4.298 5.412 Å, 80.39 80.39 41.99°
Element x y z (fractional)
As 0.984 0.984 0.029
As 0.516 0.516 0.471
Li 0.750 0.750 0.750
Re 0.250 0.250 0.250

Computed properties:
Relative energy among the computed polymorphs in meV per atom: 168
Crystal system: monoclinic
Magnetic moment in μB per formula unit: 0.0

(2)
Compound: LaCeEr2As4
Source: the Alexandria database
Functional: PBE
Structure: relaxed

Cell: 4.195 7.240 7.271 Å, 70.52 90.00 90.00°
Element x y z (fractional)
La 0.000 0.500 0.500
Ce 0.500 0.500 0.000
Er 0.000 0.000 0.000
Er 0.500 0.000 0.500
As 0.000 0.760 0.751
As 0.000 0.240 0.249
As 0.500 0.762 0.241
As 0.500 0.238 0.759

Computed properties:
Total DFT energy (no corrections) in eV per atom: -6.323
Crystal system: monoclinic
Magnetic moment in μB per formula unit: 0.6

(3)
Compound: CaPmMgSc
Source: the Alexandria database
Functional: PBE
Structure: relaxed

Cell: 5.535 5.535 5.535 Å, 60.00 60.00 60.00°
Element x y z (fractional)
Sc 0.250 0.250 0.250
Ca 0.000 0.000 0.000
Mg 0.750 0.750 0.750
Pm 0.500 0.500 0.500

Computed properties:
Total DFT energy (no corrections) in eV per atom: -3.574
Crystal system: cubic
Magnetic moment in μB per formula unit: 0.0